[1]
A geometry-optimized TmCdHgPt structure. Source: the Alexandria database, functional PBE.

Calculated density: 13.509 Mg/m³
Raw total energy: -3.516 eV per atom
Total magnetic moment: 0.00 μB/f.u.
Calculated volume: 332.87 Å³/cell

Cell: 6.930 6.930 6.930 Å, 90.00 90.00 90.00°
Space group F-43m (No. 216)
Symmetry-distinct sites (fractional):
Tm (0.000, 0.000, 0.000) (multiplicity 4)
Cd (0.000, 0.000, 0.500) (multiplicity 4)
Hg (0.250, 0.250, 0.250) (multiplicity 4)
Pt (0.250, 0.250, 0.750) (multiplicity 4)


[2]
A geometry-optimized Tm4CdHg2Pt structure. Source: the Alexandria database, functional PBE.

Calculated density: 12.140 Mg/m³
Raw total energy: -3.834 eV per atom
Total magnetic moment: 0.00 μB/f.u.
Calculated volume: 568.07 Å³/cell

Cell: 5.1231 5.1231 24.9920 Å, 90.00 90.00 120.00°
Space group R-3m (No. 166, hexagonal axes)
Symmetry-distinct sites (fractional):
Tm (0.0000, 0.0000, 0.1156) (multiplicity 6)
Tm (0.0000, 0.0000, 0.3684) (multiplicity 6)
Cd (0.0000, 0.0000, 0.5000) (multiplicity 3)
Hg (0.0000, 0.0000, 0.2404) (multiplicity 6)
Pt (0.0000, 0.0000, 0.0000) (multiplicity 3)


[3]
A geometry-optimized VCdHgPt2 structure. Source: the Alexandria database, functional PBE.

Calculated density: 11.001 Mg/m³
Raw total energy: -3.850 eV per atom
Total magnetic moment: 1.57 μB/f.u.
Calculated volume: 113.83 Å³/cell

Cell: 4.699 4.699 5.156 Å, 90.00 90.00 90.00°
Space group P4/mmm (No. 123)
Symmetry-distinct sites (fractional):
V (0.000, 0.000, 0.000) (multiplicity 1)
Cd (0.500, 0.500, 0.500) (multiplicity 1)
Hg (0.000, 0.000, 0.500) (multiplicity 1)
Pt (0.000, 0.500, 0.000) (multiplicity 2)


[4]
A geometry-optimized ZnCd2HgPt structure. Source: the Alexandria database, functional PBE.

Calculated density: 8.389 Mg/m³
Raw total energy: -1.931 eV per atom
Total magnetic moment: 0.00 μB/f.u.
Calculated volume: 135.78 Å³/cell

Cell: 5.284 5.284 4.864 Å, 90.00 90.00 90.00°
Space group P4/mmm (No. 123)
Symmetry-distinct sites (fractional):
Zn (0.000, 0.000, 0.000) (multiplicity 1)
Cd (0.000, 0.500, 0.500) (multiplicity 2)
Hg (0.500, 0.500, 0.000) (multiplicity 1)
Pt (0.000, 0.000, 0.500) (multiplicity 1)


[5]
A geometry-optimized Zn2CdHgPt structure. Source: the Alexandria database, functional PBE.

Calculated density: 8.423 Mg/m³
Raw total energy: -2.010 eV per atom
Total magnetic moment: 0.00 μB/f.u.
Calculated volume: 125.96 Å³/cell

Cell: 4.872 4.872 5.307 Å, 90.00 90.00 90.00°
Space group P4/mmm (No. 123)
Symmetry-distinct sites (fractional):
Zn (0.000, 0.500, 0.000) (multiplicity 2)
Cd (0.000, 0.000, 0.500) (multiplicity 1)
Hg (0.500, 0.500, 0.500) (multiplicity 1)
Pt (0.000, 0.000, 0.000) (multiplicity 1)


[6]
A geometry-optimized PuCdHg structure. Source: the Alexandria database, functional PBE.

Calculated density: 10.350 Mg/m³
Raw total energy: -5.074 eV per atom
Total magnetic moment: 6.25 μB/f.u.
Calculated volume: 357.47 Å³/cell

Cell: 7.097 7.097 7.097 Å, 90.00 90.00 90.00°
Space group F-43m (No. 216)
Symmetry-distinct sites (fractional):
Pu (0.000, 0.000, 0.000) (multiplicity 4)
Cd (0.000, 0.000, 0.500) (multiplicity 4)
Hg (0.250, 0.250, 0.250) (multiplicity 4)


[7]
A geometry-optimized PuCd6Hg8 structure. Source: the Alexandria database, functional PBE.

Calculated density: 10.601 Mg/m³
ΔE to the lowest computed polymorph: 0.0000 eV per atom
Total magnetic moment: 5.84 μB/f.u.
Calculated volume: 1185.68 Å³/cell

Cell: 8.8029 8.8029 17.6678 Å, 90.00 90.00 120.00°
Space group R-3 (No. 148, hexagonal axes)
Symmetry-distinct sites (fractional):
Pu (0.0000, 0.0000, 0.0000) (multiplicity 3)
Cd (0.0222, 0.2584, 0.6988) (multiplicity 18)
Hg (0.0000, 0.0000, 0.4178) (multiplicity 6)
Hg (0.0483, 0.7932, 0.1368) (multiplicity 18)


[8]
A geometry-optimized PuCdHg2 structure. Source: the Alexandria database, functional PBE.

Calculated density: 12.433 Mg/m³
Raw total energy: -3.974 eV per atom
Total magnetic moment: 6.06 μB/f.u.
Calculated volume: 303.56 Å³/cell

Cell: 3.4095 3.4095 30.1532 Å, 90.00 90.00 120.00°
Space group R3m (No. 160, hexagonal axes)
Symmetry-distinct sites (fractional):
Pu (0.0000, 0.0000, 0.0000) (multiplicity 3)
Cd (0.0000, 0.0000, 0.1666) (multiplicity 3)
Hg (0.0000, 0.0000, 0.5799) (multiplicity 3)
Hg (0.0000, 0.0000, 0.7534) (multiplicity 3)


[9]
A geometry-optimized PuCd7Hg12 structure. Source: the Alexandria database, functional PBE.

Calculated density: 10.822 Mg/m³
Raw total energy: -1.209 eV per atom
Total magnetic moment: 5.79 μB/f.u.
Calculated volume: 1582.51 Å³/cell

Cell: 13.4749 13.4749 10.0639 Å, 90.00 90.00 120.00°
Space group R-3 (No. 148, hexagonal axes)
Symmetry-distinct sites (fractional):
Pu (0.0000, 0.0000, 0.0000) (multiplicity 3)
Cd (0.0000, 0.0000, 0.5000) (multiplicity 3)
Cd (0.0036, 0.1512, 0.2545) (multiplicity 18)
Hg (0.0322, 0.2442, 0.9272) (multiplicity 18)
Hg (0.0540, 0.7969, 0.4512) (multiplicity 18)


[10]
A geometry-optimized Pu2Cd3Hg4 structure. Source: the Alexandria database, functional PBE.

Calculated density: 12.178 Mg/m³
Raw total energy: -3.726 eV per atom
Total magnetic moment: 11.38 μB/f.u.
Calculated volume: 221.93 Å³/cell

Cell: 5.136 5.143 9.697 Å, 89.46 89.95 60.05°
Space group P-1 (No. 2)
Symmetry-distinct sites (fractional):
Pu (0.169, 0.162, 0.224) (multiplicity 2)
Cd (0.164, 0.173, 0.574) (multiplicity 2)
Cd (0.500, 0.500, 0.000) (multiplicity 1)
Hg (0.166, 0.169, 0.898) (multiplicity 2)
Hg (0.497, 0.508, 0.658) (multiplicity 2)


[11]
A geometry-optimized PuCd4Hg2 structure. Source: the Alexandria database, functional PBE.

Calculated density: 10.634 Mg/m³
ΔE to the lowest computed polymorph: 0.0325 eV per atom
Total magnetic moment: 6.20 μB/f.u.
Calculated volume: 341.92 Å³/cell

Cell: 3.101 34.790 3.169 Å, 90.00 90.00 90.00°
Space group Cmmm (No. 65)
Symmetry-distinct sites (fractional):
Pu (0.000, 0.000, 0.000) (multiplicity 2)
Cd (0.000, 0.146, 0.500) (multiplicity 4)
Cd (0.000, 0.287, 0.000) (multiplicity 4)
Hg (0.000, 0.429, 0.500) (multiplicity 4)


[12]
A geometry-optimized PuCd12Hg7 structure. Source: the Alexandria database, functional PBE.

Calculated density: 10.075 Mg/m³
Raw total energy: -1.350 eV per atom
Total magnetic moment: 5.82 μB/f.u.
Calculated volume: 1481.85 Å³/cell

Cell: 13.7348 13.7348 9.0704 Å, 90.00 90.00 120.00°
Space group R-3 (No. 148, hexagonal axes)
Symmetry-distinct sites (fractional):
Pu (0.0000, 0.0000, 0.0000) (multiplicity 3)
Cd (0.0336, 0.7813, 0.0865) (multiplicity 18)
Cd (0.0692, 0.8228, 0.4310) (multiplicity 18)
Hg (0.0000, 0.0000, 0.5000) (multiplicity 3)
Hg (0.0407, 0.8442, 0.7656) (multiplicity 18)


[13]
A geometry-optimized PuCd3Hg4 structure. Source: the Alexandria database, functional PBE.

Calculated density: 11.856 Mg/m³
Raw total energy: -2.351 eV per atom
Total magnetic moment: 5.81 μB/f.u.
Calculated volume: 387.56 Å³/cell

Cell: 9.678 8.269 4.843 Å, 90.00 90.00 90.00°
Space group Pmma (No. 51)
Symmetry-distinct sites (fractional):
Pu (0.000, 0.000, 0.000) (multiplicity 2)
Cd (0.000, 0.500, 0.000) (multiplicity 2)
Cd (0.250, 0.000, 0.499) (multiplicity 2)
Cd (0.250, 0.500, 0.498) (multiplicity 2)
Hg (0.000, 0.257, 0.500) (multiplicity 4)
Hg (0.250, 0.256, 0.999) (multiplicity 4)


[14]
A geometry-optimized Pu2CdHg3 structure. Source: the Alexandria database, functional PBE.

Calculated density: 13.769 Mg/m³
ΔE to the lowest computed polymorph: 0.0000 eV per atom
Total magnetic moment: 0.00 μB/f.u.
Calculated volume: 1159.84 Å³/cell

Cell: 6.315 10.280 17.866 Å, 90.00 90.00 90.00°
Space group Fmmm (No. 69)
Symmetry-distinct sites (fractional):
Pu (0.247, 0.000, 0.000) (multiplicity 8)
Pu (0.250, 0.250, 0.250) (multiplicity 8)
Cd (0.000, 0.000, 0.333) (multiplicity 8)
Hg (0.000, 0.000, 0.168) (multiplicity 8)
Hg (0.000, 0.247, 0.416) (multiplicity 16)


[15]
A geometry-optimized Pu3Cd4Hg2 structure. Source: the Alexandria database, functional PBE.

Calculated density: 12.179 Mg/m³
Raw total energy: -5.402 eV per atom
Total magnetic moment: 5.82 μB/f.u.
Calculated volume: 863.25 Å³/cell

Cell: 8.949 15.515 6.217 Å, 90.00 90.00 90.00°
Space group Cccm (No. 66)
Symmetry-distinct sites (fractional):
Pu (0.000, 0.000, 0.250) (multiplicity 4)
Pu (0.000, 0.331, 0.250) (multiplicity 8)
Cd (0.164, 0.499, 0.000) (multiplicity 8)
Cd (0.170, 0.166, 0.000) (multiplicity 8)
Hg (0.166, 0.165, 0.500) (multiplicity 8)


[16]
A geometry-optimized Pu2Cd5Hg3 structure. Source: the Alexandria database, functional PBE.

Calculated density: 10.667 Mg/m³
Raw total energy: -3.407 eV per atom
Total magnetic moment: 11.82 μB/f.u.
Calculated volume: 1028.53 Å³/cell

Cell: 12.383 13.260 6.264 Å, 90.00 90.00 90.00°
Space group Ibam (No. 72)
Symmetry-distinct sites (fractional):
Pu (0.125, 0.248, 0.000) (multiplicity 8)
Cd (0.000, 0.000, 0.250) (multiplicity 4)
Cd (0.128, 0.358, 0.500) (multiplicity 8)
Cd (0.247, 0.000, 0.250) (multiplicity 8)
Hg (0.000, 0.500, 0.250) (multiplicity 4)
Hg (0.124, 0.149, 0.500) (multiplicity 8)


[17]
A geometry-optimized PuCdHg2 structure. Source: the Alexandria database, functional PBE.

Calculated density: 12.986 Mg/m³
Raw total energy: -4.061 eV per atom
Total magnetic moment: 5.98 μB/f.u.
Calculated volume: 96.88 Å³/cell

Cell: 3.313 3.313 8.826 Å, 90.00 90.00 90.00°
Space group P4/mmm (No. 123)
Symmetry-distinct sites (fractional):
Pu (0.000, 0.000, 0.000) (multiplicity 1)
Cd (0.000, 0.000, 0.500) (multiplicity 1)
Hg (0.500, 0.500, 0.261) (multiplicity 2)


[18]
A geometry-optimized PuCd6Hg4 structure. Source: the Alexandria database, functional PBE.

Calculated density: 10.644 Mg/m³
Raw total energy: -1.931 eV per atom
Total magnetic moment: 6.03 μB/f.u.
Calculated volume: 268.45 Å³/cell

Cell: 9.9174 9.9174 3.1516 Å, 90.00 90.00 120.00°
Space group P-6m2 (No. 187)
Symmetry-distinct sites (fractional):
Pu (0.0000, 0.0000, 0.0000) (multiplicity 1)
Cd (0.1815, 0.3630, 0.5000) (multiplicity 3)
Cd (0.5294, 0.0588, 0.0000) (multiplicity 3)
Hg (0.3333, 0.6667, 0.0000) (multiplicity 1)
Hg (0.3382, 0.1691, 0.5000) (multiplicity 3)


[19]
A geometry-optimized Pu2CdHg6 structure. Source: the Alexandria database, functional PBE.

Calculated density: 13.001 Mg/m³
ΔE to the lowest computed polymorph: 0.0000 eV per atom
Total magnetic moment: 12.27 μB/f.u.
Calculated volume: 230.40 Å³/cell

Cell: 6.6045 6.6045 6.0976 Å, 90.00 90.00 120.00°
Space group P-3m1 (No. 164)
Symmetry-distinct sites (fractional):
Pu (0.3333, 0.6667, 0.1581) (multiplicity 2)
Cd (0.0000, 0.0000, 0.0000) (multiplicity 1)
Hg (0.1815, 0.3630, 0.6780) (multiplicity 6)


[20]
A geometry-optimized Pu2Cd3Hg2 structure. Source: the Alexandria database, functional PBE.

Calculated density: 11.726 Mg/m³
ΔE to the lowest computed polymorph: 0.0523 eV per atom
Total magnetic moment: 11.66 μB/f.u.
Calculated volume: 347.34 Å³/cell

Cell: 8.825 5.114 8.252 Å, 90.00 111.16 90.00°
Space group C2/m (No. 12)
Symmetry-distinct sites (fractional):
Pu (0.068, 0.000, 0.201) (multiplicity 4)
Cd (0.000, 0.500, 0.500) (multiplicity 2)
Cd (0.203, 0.000, 0.613) (multiplicity 4)
Hg (0.161, 0.500, 0.983) (multiplicity 4)